This record from the Alexandria database describes an optimized crystal structure of TaFeHg2. The functional is GGA-PBE.

energy relative to the lowest polymorph listed for this composition: 0.234 eV/atom

Lattice parameters (Å, degrees): 2.9860 2.9860 28.6167 90.00 90.00 120.00
Last column: nearest neighbours and their distance in Å.
Space group R-3m (No. 166, hexagonal axes)
Unique sites:
Ta1 0.0000 0.0000 0.0000 [3 per cell]  6 Ta 2.99, 6 Hg 3.06
Fe1 0.0000 0.0000 0.5000 [3 per cell]  6 Hg 2.83, 6 Fe 2.99
Hg1 0.0000 0.0000 0.2451 [6 per cell]  3 Fe 2.83, 6 Hg 2.99, 3 Ta 3.06